## V2WO6 (GGA-PBEsol)

Data for a geometry-optimized V2WO6 structure.

Structure (extended XYZ):
```
18
Lattice="4.640 0.000 0.000 0.000 4.640 0.000 0.000 0.000 8.569" Properties=species:S:1:pos:R:3 pbc="T T T"
V 2.320 2.320 1.445
V 0.000 0.000 2.840
V 0.000 0.000 5.729
V 2.320 2.320 7.124
W 0.000 0.000 0.000
W 2.320 2.320 4.284
O 1.376 1.376 0.000
O 0.944 3.696 4.284
O 3.696 0.944 4.284
O 3.265 3.265 0.000
O 3.273 3.273 5.706
O 1.368 1.368 5.706
O 3.273 3.273 2.862
O 0.952 3.688 1.422
O 3.688 0.952 1.422
O 3.688 0.952 7.147
O 0.952 3.688 7.147
O 1.368 1.368 2.862
```

VASP energy, eV/cell: -169.77
Symmetry: P4_2/mnm (136)
ΔE_f (raw), kcal/mol of atoms: -52.0
Crystal system: tetragonal
Total moment, μB per cell: 6.788